Entry 1:
{"formula": "Cs3Hg4Sb4", "functional": "PBE", "state": "relaxed", "lattice": [[2.2743, -0.2199, -7.7790], [0.0330, -7.5164, 3.0391], [-7.4707, 3.1025, 0.5447]], "species": ["Cs", "Cs", "Cs", "Hg", "Hg", "Hg", "Hg", "Sb", "Sb", "Sb", "Sb"], "fractional_positions": [[0.5000, 0.5000, 0.0000], [0.5000, 0.0000, 0.5000], [0.0000, 0.5000, 0.5000], [0.0000, 0.3228, 0.0000], [0.0000, 0.0000, 0.3228], [0.3228, 0.0000, 0.0000], [0.6772, 0.6772, 0.6772], [0.0000, 0.6805, 0.0000], [0.6805, 0.0000, 0.0000], [0.0000, 0.0000, 0.6805], [0.3195, 0.3195, 0.3195]], "space_group": "No. 217", "volume_a3_per_atom": 37.3, "e_form_raw_mev_per_atom": -266, "crystal_system": "cubic"}


Entry 2:
{"formula": "Cs12Hg3Sb5", "functional": "PBE", "state": "relaxed", "lattice": [[20.3900, 0.0000, 0.0000], [-6.7967, 19.2238, 0.0000], [-6.7967, -9.6119, 16.6483]], "species": ["Hg", "Hg", "Hg", "Hg", "Hg", "Hg", "Hg", "Hg", "Hg", "Hg", "Hg", "Hg", "Sb", "Sb", "Sb", "Sb", "Sb", "Sb", "Sb", "Sb", "Sb", "Sb", "Sb", "Sb", "Sb", "Sb", "Sb", "Sb", "Sb", "Sb", "Sb", "Sb", "Cs", "Cs", "Cs", "Cs", "Cs", "Cs", "Cs", "Cs", "Cs", "Cs", "Cs", "Cs", "Cs", "Cs", "Cs", "Cs", "Cs", "Cs", "Cs", "Cs", "Cs", "Cs", "Cs", "Cs", "Cs", "Cs", "Cs", "Cs", "Cs", "Cs", "Cs", "Cs", "Cs", "Cs", "Cs", "Cs", "Cs", "Cs", "Cs", "Cs", "Cs", "Cs", "Cs", "Cs", "Cs", "Cs", "Cs", "Cs"], "fractional_positions": [[0.7500, 0.3750, 0.1250], [0.8750, 0.7500, 0.1250], [0.3750, 0.7500, 0.6250], [0.2500, 0.1250, 0.3750], [0.8750, 0.1250, 0.2500], [0.3750, 0.6250, 0.2500], [0.6250, 0.3750, 0.7500], [0.1250, 0.8750, 0.7500], [0.7500, 0.8750, 0.6250], [0.6250, 0.2500, 0.3750], [0.1250, 0.2500, 0.8750], [0.2500, 0.6250, 0.8750], [0.1250, 0.3750, 0.2500], [0.0000, 0.5000, 0.0000], [0.0000, 0.0000, 0.0000], [0.3750, 0.2500, 0.1250], [0.5000, 0.0000, 0.5000], [0.5000, 0.5000, 0.0000], [0.1250, 0.7500, 0.3750], [0.7500, 0.1250, 0.8750], [0.7500, 0.6250, 0.3750], [0.3750, 0.1250, 0.7500], [0.6250, 0.8750, 0.2500], [0.5000, 0.5000, 0.5000], [0.5000, 0.0000, 0.0000], [0.0000, 0.0000, 0.5000], [0.2500, 0.3750, 0.6250], [0.2500, 0.8750, 0.1250], [0.0000, 0.5000, 0.5000], [0.8750, 0.2500, 0.6250], [0.6250, 0.7500, 0.8750], [0.8750, 0.6250, 0.7500], [0.7030, 0.0945, 0.0222], [0.3192, 0.5222, 0.4277], [0.9778, 0.4055, 0.2970], [0.5222, 0.2030, 0.0945], [0.6085, 0.7030, 0.6808], [0.9778, 0.5723, 0.1808], [0.3192, 0.7970, 0.3915], [0.0723, 0.8915, 0.0945], [0.5723, 0.9778, 0.6808], [0.7030, 0.6085, 0.1808], [0.7970, 0.4778, 0.4055], [0.8192, 0.9277, 0.0222], [0.0945, 0.7030, 0.5222], [0.4055, 0.4277, 0.1085], [0.1085, 0.9277, 0.4055], [0.3915, 0.0945, 0.5723], [0.1085, 0.1808, 0.2030], [0.4778, 0.6808, 0.0723], [0.8192, 0.8915, 0.2970], [0.0945, 0.3915, 0.0723], [0.4055, 0.9778, 0.7970], [0.5723, 0.5945, 0.3915], [0.9277, 0.8192, 0.5222], [0.7970, 0.3192, 0.8915], [0.4277, 0.4055, 0.6085], [0.0723, 0.1808, 0.4778], [0.2030, 0.6808, 0.1085], [0.1808, 0.1085, 0.7030], [0.5945, 0.0222, 0.2030], [0.9055, 0.6085, 0.9277], [0.5222, 0.3192, 0.9277], [0.6085, 0.9055, 0.4277], [0.8915, 0.8192, 0.7970], [0.8915, 0.0723, 0.5945], [0.9055, 0.2970, 0.4778], [0.1808, 0.0723, 0.9778], [0.5945, 0.5723, 0.8915], [0.4277, 0.0222, 0.3192], [0.2970, 0.3915, 0.8192], [0.2030, 0.5222, 0.5945], [0.9277, 0.1085, 0.9055], [0.6808, 0.2030, 0.6085], [0.4778, 0.7970, 0.9055], [0.0222, 0.4277, 0.8192], [0.3915, 0.2970, 0.3192], [0.0222, 0.5945, 0.7030], [0.6808, 0.4778, 0.5723], [0.2970, 0.9055, 0.9778]], "space_group": "No. 230", "volume_a3_per_atom": 81.6, "e_form_raw_mev_per_atom": -89, "crystal_system": "cubic"}


Entry 3:
{"formula": "CsHgSb", "functional": "PBE", "state": "relaxed", "lattice": [[-0.3701, -2.9369, 3.2155], [5.5763, 2.1616, 2.6161], [-6.1718, 5.1220, 3.9678]], "species": ["Cs", "Cs", "Sb", "Sb", "Hg", "Hg"], "fractional_positions": [[0.2500, 0.9156, 0.7895], [0.7500, 0.0844, 0.2105], [0.2500, 0.5582, 0.1106], [0.7500, 0.4418, 0.8894], [0.7500, 0.6504, 0.4278], [0.2500, 0.3496, 0.5722]], "space_group": "No. 11", "volume_a3_per_atom": 41.5, "e_form_raw_mev_per_atom": -283, "crystal_system": "monoclinic"}


Entry 4:
{"formula": "CsHgSb", "functional": "PBE", "state": "relaxed", "lattice": [[17.8485, 0.0000, 0.0454], [8.3739, 2.2129, -3.2927], [-8.3739, 2.2129, 3.2927]], "species": ["Cs", "Cs", "Sb", "Sb", "Hg", "Hg"], "fractional_positions": [[0.1898, 0.2102, 0.7898], [0.8102, 0.7898, 0.2102], [0.3574, 0.3847, 0.6153], [0.6426, 0.6153, 0.3847], [0.6786, 0.2333, 0.7667], [0.3214, 0.7667, 0.2333]], "space_group": "No. 12", "volume_a3_per_atom": 43.6, "e_form_raw_mev_per_atom": -314, "crystal_system": "monoclinic"}